! Tb6Y2ErTm3 GGA-PBE relaxed; values from VASP
&SYSTEM
  ibrav = 0, nat = 12, ntyp = 4
/
ATOMIC_SPECIES
Tb 158.93 Tb.upf
Y 88.91 Y.upf
Er 167.26 Er.upf
Tm 168.93 Tm.upf
ATOMIC_POSITIONS crystal
Tb 0.084 0.417 0.752
Tb 0.248 0.248 0.248
Tb 0.417 0.084 0.752
Tb 0.583 0.916 0.248
Tb 0.752 0.752 0.752
Tb 0.916 0.583 0.248
Y 0.333 0.667 0.500
Y 0.667 0.333 0.500
Er 0.000 0.000 0.500
Tm 0.167 0.833 0.000
Tm 0.500 0.500 0.000
Tm 0.833 0.167 0.000
CELL_PARAMETERS angstrom
3.068 -5.309 0.000
3.068 5.309 0.000
-2.036 0.000 11.529
! SG = C2/m
! Raw total energy = -4.871 eV/atom
! Total moment = 0.00 μB per cell
! Volume = 31.30 Å³ per atom
! Fermi-level density of states = 16.37 states/eV/cell

***

! Tb2YEr6Tm3 GGA-PBE relaxed; values from VASP
&SYSTEM
  ibrav = 0, nat = 12, ntyp = 4
/
ATOMIC_SPECIES
Tb 158.93 Tb.upf
Y 88.91 Y.upf
Er 167.26 Er.upf
Tm 168.93 Tm.upf
ATOMIC_POSITIONS crystal
Tb 0.167 0.833 0.000
Tb 0.833 0.167 0.000
Y 0.500 0.500 0.000
Er 0.081 0.415 0.748
Er 0.251 0.251 0.252
Er 0.415 0.081 0.748
Er 0.585 0.919 0.252
Er 0.749 0.749 0.748
Er 0.919 0.585 0.252
Tm 0.000 0.000 0.500
Tm 0.333 0.667 0.500
Tm 0.667 0.333 0.500
CELL_PARAMETERS angstrom
3.047 -5.270 0.000
3.047 5.270 0.000
-2.024 0.000 11.476
! SG = C2/m
! Raw total energy = -4.686 eV/atom
! Total moment = 0.00 μB per cell
! Volume = 30.71 Å³ per atom
! Fermi-level density of states = 16.99 states/eV/cell

***

! TbY3Er6Tm2 GGA-PBE relaxed; values from VASP
&SYSTEM
  ibrav = 0, nat = 12, ntyp = 4
/
ATOMIC_SPECIES
Tb 158.93 Tb.upf
Y 88.91 Y.upf
Er 167.26 Er.upf
Tm 168.93 Tm.upf
ATOMIC_POSITIONS crystal
Tb 0.000 0.000 0.000
Y 0.167 0.833 0.500
Y 0.500 0.500 0.500
Y 0.833 0.167 0.500
Er 0.083 0.416 0.248
Er 0.251 0.251 0.752
Er 0.416 0.083 0.248
Er 0.584 0.917 0.752
Er 0.749 0.749 0.248
Er 0.917 0.584 0.752
Tm 0.333 0.667 0.000
Tm 0.667 0.333 0.000
CELL_PARAMETERS angstrom
3.053 -5.280 0.000
3.053 5.280 0.000
-2.028 0.000 11.513
! SG = C2/m
! Raw total energy = -5.004 eV/atom
! Total moment = 0.00 μB per cell
! Volume = 30.92 Å³ per atom
! Fermi-level density of states = 17.29 states/eV/cell

***

! TbErTmZn GGA-PBE relaxed; values from VASP
&SYSTEM
  ibrav = 0, nat = 16, ntyp = 4
/
ATOMIC_SPECIES
Tb 158.93 Tb.upf
Er 167.26 Er.upf
Tm 168.93 Tm.upf
Zn 65.41 Zn.upf
ATOMIC_POSITIONS crystal
Tb 0.000 0.000 0.000
Tb 0.000 0.500 0.500
Tb 0.500 0.000 0.500
Tb 0.500 0.500 0.000
Er 0.000 0.000 0.500
Er 0.000 0.500 0.000
Er 0.500 0.000 0.000
Er 0.500 0.500 0.500
Tm 0.250 0.250 0.750
Tm 0.250 0.750 0.250
Tm 0.750 0.250 0.250
Tm 0.750 0.750 0.750
Zn 0.250 0.250 0.250
Zn 0.250 0.750 0.750
Zn 0.750 0.250 0.750
Zn 0.750 0.750 0.250
CELL_PARAMETERS angstrom
7.485 0.000 0.000
0.000 7.485 0.000
0.000 0.000 7.485
! SG = F-43m
! Energy relative to the lowest polymorph listed for this composition = 202 meV per atom
! Raw total energy = -3.698 eV/atom
! Total moment = 0.00 μB per cell
! Volume = 26.21 Å³ per atom
! Fermi-level density of states = 17.92 states/eV/cell